This record from Alexandria via LeMat-Bulk describes Mg3Hg after structural relaxation. The functional is PBE.

The mass density comes out at 5.172 g/cm3. For the energy of formation, the calculation gives -0.1052 eV/atom. The density of states at the Fermi level is 2.568 states/eV per cell. As for the energy: -1.377 eV/atom.

The space group is Cmmm (No. 65) and the conventional cell measures 6.403, 8.009 and 3.424 Å, with angles of 90.00, 90.00 and 90.00 degrees. The inequivalent atoms are Mg at (0.000, 0.000, 0.000), Mg at (0.250, 0.250, 0.500) and Hg at (0.000, 0.500, 0.000).